{
  "formula": "CaSN2F",
  "functional": "GGA-PBE",
  "state": "optimized geometry",
  "m_tot_mub_per_cell": 0.000,
  "final_energy_ev_per_cell": -25.541,
  "relative_energy_mev_per_atom": 0.0,
  "lattice": [[3.5352, 0.0000, 0.0000], [0.0000, 3.5352, 0.0000], [0.0000, 0.0000, 4.8180]],
  "species": ["Ca", "S", "N", "N", "F"],
  "fractional_positions": [[0.5000, 0.5000, 0.5000], [0.0000, 0.0000, 0.0000], [0.5000, 0.0000, 0.0000], [0.0000, 0.5000, 0.0000], [0.0000, 0.0000, 0.5000]]
}